1.
# CsTiGe3

CsTiGe3 after structural relaxation (PBE, Alexandria).

abc: 5.098 5.098 5.098
angles: 90.00 90.00 90.00
Element x y z (fractional)
Cs: 0.000 0.000 0.000
Ti: 0.500 0.500 0.500
Ge: 0.000 0.500 0.500
Ge: 0.500 0.000 0.500
Ge: 0.500 0.500 0.000

Results
Energy relative to the elements: 0.064 eV/atom
Space group: Pm-3m, No. 221
ΔE to the lowest computed polymorph: 0.000 eV/f.u.
Crystal system: cubic
M_tot: 0.00 μB/f.u.


2.
# CsTiGe3

CsTiGe3 after structural relaxation (PBE, Alexandria).

abc: 5.472 5.472 5.472
angles: 90.00 90.00 90.00
Element x y z (fractional)
Cs: 0.000 0.000 0.000
Ti: 0.500 0.500 0.500
Ge: 0.000 0.000 0.500
Ge: 0.000 0.500 0.000
Ge: 0.500 0.000 0.000

Results
Energy relative to the elements: 2.144 eV/atom
Space group: Pm-3m, No. 221
ΔE to the lowest computed polymorph: 10.402 eV/f.u.
Crystal system: cubic
M_tot: 0.00 μB/f.u.


3.
# Cs3TiGe

Cs3TiGe after structural relaxation (PBE, Alexandria).

abc: 6.488 6.488 6.488
angles: 90.00 90.00 90.00
Element x y z (fractional)
Cs: 0.000 0.000 0.500
Cs: 0.000 0.500 0.000
Cs: 0.500 0.000 0.000
Ti: 0.000 0.000 0.000
Ge: 0.500 0.500 0.500

Results
Energy relative to the elements: 1.189 eV/atom
Space group: Pm-3m, No. 221
Crystal system: cubic
M_tot: 6.76 μB/f.u.


Number 1: total DFT energy (no corrections) -4.46 eV per atom. Number 2: total DFT energy (no corrections) -2.38 eV per atom. Number 3: total DFT energy (no corrections) -1.83 eV per atom.